(1)
{
  "formula": "Er3Si3Ni2",
  "functional": "PBE",
  "state": "optimized geometry",
  "sg": "Cmcm",
  "m_tot_mub_per_fu": 0.0,
  "volume_a3_per_atom": 17.9,
  "raw_formation_energy_ev_per_atom": -0.841,
  "lattice": [[-3.416, 2.041, 1.098], [0.341, -0.713, -5.376], [-6.765, -11.943, 1.155]],
  "species": ["Ni", "Ni", "Ni", "Ni", "Er", "Er", "Er", "Er", "Er", "Er", "Si", "Si", "Si", "Si", "Si", "Si"],
  "frac_coords": [[0.797, 0.594, 0.904], [0.203, 0.406, 0.404], [0.203, 0.406, 0.096], [0.797, 0.594, 0.596], [0.630, 0.260, 0.250], [0.089, 0.177, 0.610], [0.911, 0.823, 0.110], [0.370, 0.740, 0.750], [0.089, 0.177, 0.890], [0.911, 0.823, 0.390], [0.381, 0.763, 0.538], [0.330, 0.659, 0.250], [0.619, 0.237, 0.462], [0.619, 0.237, 0.038], [0.670, 0.341, 0.750], [0.381, 0.763, 0.962]]
}

***

(2)
{
  "formula": "AlIn8Hg6",
  "functional": "PBE",
  "state": "optimized geometry",
  "e_form_ev_per_atom": 0.05,
  "sg": "P-1",
  "m_tot_mub_per_fu": 0.0,
  "volume_a3_per_atom": 26.7,
  "lattice": [[7.044, 1.199, 2.591], [2.866, 8.379, 3.691], [-0.724, 0.817, 7.253]],
  "species": ["In", "In", "In", "In", "In", "In", "In", "In", "Hg", "Hg", "Hg", "Hg", "Hg", "Hg", "Al"],
  "frac_coords": [[0.797, 0.340, 0.103], [0.104, 0.830, 0.417], [0.251, 0.180, 0.845], [0.203, 0.660, 0.897], [0.896, 0.170, 0.583], [0.601, 0.573, 0.577], [0.749, 0.820, 0.155], [0.399, 0.427, 0.423], [0.471, 0.752, 0.013], [0.351, 0.003, 0.400], [0.649, 0.997, 0.600], [0.069, 0.416, 0.280], [0.931, 0.584, 0.720], [0.529, 0.248, 0.987], [0.000, 0.000, 0.000]]
}

***

(3)
{
  "formula": "LiCaY2Pd",
  "functional": "PBE",
  "state": "optimized geometry",
  "e_form_ev_per_atom": -0.15,
  "relative_energy_mev_per_atom": 0,
  "sg": "P4/mmm",
  "m_tot_mub_per_fu": 0.0,
  "volume_a3_per_atom": 30.5,
  "lattice": [[-2.681, -1.397, 4.538], [-0.319, -5.146, -1.772], [4.450, -1.068, 2.300]],
  "species": ["Ca", "Y", "Y", "Pd", "Li"],
  "frac_coords": [[0.500, 0.500, 0.500], [0.000, 0.500, 0.000], [0.500, 0.000, 0.000], [0.000, 0.000, 0.000], [0.000, 0.000, 0.500]]
}

***

(4)
{
  "formula": "SiBiO4",
  "functional": "PBE",
  "state": "optimized geometry",
  "sg": "I4_1/a",
  "m_tot_mub_per_fu": 0.0,
  "volume_a3_per_atom": 11.7,
  "raw_formation_energy_ev_per_atom": -1.766,
  "lattice": [[4.566, 0.000, -1.878], [-0.772, 4.500, -1.878], [0.098, 0.116, 6.728]],
  "species": ["Si", "Si", "Bi", "Bi", "O", "O", "O", "O", "O", "O", "O", "O"],
  "frac_coords": [[0.500, 0.500, 0.000], [0.250, 0.750, 0.500], [0.750, 0.250, 0.500], [0.000, 0.000, 0.000], [0.317, 0.425, 0.349], [0.032, 0.925, 0.349], [0.175, 0.282, 0.849], [0.433, 0.825, 0.151], [0.075, 0.683, 0.651], [0.675, 0.567, 0.849], [0.718, 0.325, 0.151], [0.575, 0.968, 0.651]]
}

***

(5)
{
  "formula": "ReW3",
  "functional": "PBE",
  "state": "optimized geometry",
  "e_form_ev_per_atom": 0.02,
  "relative_energy_mev_per_atom": 0,
  "sg": "Pm-3n",
  "m_tot_mub_per_fu": 0.0,
  "volume_a3_per_atom": 16.0,
  "lattice": [[-1.159, 0.863, 4.832], [-3.332, -3.785, -0.123], [3.605, -3.220, 1.440]],
  "species": ["Re", "Re", "W", "W", "W", "W", "W", "W"],
  "frac_coords": [[0.500, 0.500, 0.500], [0.000, 0.000, 0.000], [0.250, 0.500, 0.000], [0.500, 0.000, 0.250], [0.500, 0.000, 0.750], [0.750, 0.500, 0.000], [0.000, 0.750, 0.500], [0.000, 0.250, 0.500]]
}

***

(6)
{
  "formula": "V2InCuN",
  "functional": "PBE",
  "state": "optimized geometry",
  "sg": "P4/mmm",
  "m_tot_mub_per_fu": 4.7,
  "volume_a3_per_atom": 19.7,
  "raw_formation_energy_ev_per_atom": 1.771,
  "lattice": [[-3.564, 1.557, -2.451], [-2.588, -3.598, 1.477], [-1.395, 2.484, 3.607]],
  "species": ["N", "In", "V", "V", "Cu"],
  "frac_coords": [[0.500, 0.500, 0.500], [0.000, 0.500, 0.000], [0.500, 0.000, 0.000], [0.000, 0.000, 0.500], [0.000, 0.000, 0.000]]
}

***

(7)
{
  "formula": "MgPaNi17",
  "functional": "PBE",
  "state": "optimized geometry",
  "e_form_ev_per_atom": -0.12,
  "sg": "R3m",
  "m_tot_mub_per_fu": 6.2,
  "volume_a3_per_atom": 12.3,
  "lattice": [[6.159, 0.032, 0.762], [0.677, 6.122, 0.762], [0.035, 0.032, 6.206]],
  "species": ["Ni", "Ni", "Ni", "Ni", "Ni", "Ni", "Ni", "Ni", "Ni", "Ni", "Ni", "Ni", "Ni", "Ni", "Ni", "Ni", "Ni", "Mg", "Pa"],
  "frac_coords": [[0.347, 0.347, 0.845], [0.001, 0.001, 0.500], [0.999, 0.701, 0.300], [0.001, 0.500, 0.001], [0.099, 0.099, 0.099], [0.347, 0.845, 0.347], [0.300, 0.999, 0.701], [0.899, 0.899, 0.899], [0.156, 0.652, 0.652], [0.500, 0.001, 0.001], [0.652, 0.652, 0.156], [0.652, 0.156, 0.652], [0.999, 0.300, 0.701], [0.701, 0.300, 0.999], [0.300, 0.701, 0.999], [0.845, 0.347, 0.347], [0.701, 0.999, 0.300], [0.339, 0.339, 0.339], [0.661, 0.661, 0.661]]
}